1.
# BaTmTlZn

A relaxed BaTmTlZn crystal (PBE, the Alexandria database).

ΔE_f in eV/atom: -0.15
Magnetic moment in Bohr magnetons per cell: 0.00

Lattice parameters (Å, degrees): 7.8866 7.8866 7.8866 90.00 90.00 90.00
Space group F-43m (No. 216)
Inequivalent atoms, fractional coordinates:
Ba (0.0000, 0.0000, 0.0000) (multiplicity 4)
Tm (0.0000, 0.0000, 0.5000) (multiplicity 4)
Tl (0.2500, 0.2500, 0.7500) (multiplicity 4)
Zn (0.2500, 0.2500, 0.2500) (multiplicity 4)

***

2.
# KHBr3

A relaxed KHBr3 crystal (PBE, the Alexandria database).

Offset from the most stable computed form in eV/atom: 0.094
Magnetic moment in Bohr magnetons per cell: 2.00

Lattice parameters (Å, degrees): 7.2900 6.5335 7.3588 90.00 109.97 90.00
Space group P2_1/m (No. 11)
Inequivalent atoms, fractional coordinates:
K (0.1734, 0.2500, 0.2846) (multiplicity 2)
H (0.3717, 0.7500, 0.0104) (multiplicity 2)
Br (0.0271, 0.2500, 0.7820) (multiplicity 2)
Br (0.3456, 0.7500, 0.8001) (multiplicity 2)
Br (0.3878, 0.7500, 0.3060) (multiplicity 2)

***

3.
# PmMg2Sb

A relaxed PmMg2Sb crystal (PBE, the Alexandria database).

Offset from the most stable computed form in eV/atom: 0.000
Magnetic moment in Bohr magnetons per cell: 0.00

Lattice parameters (Å, degrees): 4.5501 4.5501 4.9039 90.00 90.00 90.00
Space group P4/mmm (No. 123)
Inequivalent atoms, fractional coordinates:
Pm (0.0000, 0.0000, 0.0000) (multiplicity 1)
Mg (0.0000, 0.5000, 0.5000) (multiplicity 2)
Sb (0.5000, 0.5000, 0.0000) (multiplicity 1)

***

4.
# In3SnPb12

A relaxed In3SnPb12 crystal (PBE, the Alexandria database).

ΔE_f in eV/atom: 0.02
Magnetic moment in Bohr magnetons per cell: 0.00

Lattice parameters (Å, degrees): 4.8728 4.8728 20.6393 90.00 90.00 90.00
Space group P4/mmm (No. 123)
Inequivalent atoms, fractional coordinates:
In (0.0000, 0.0000, 0.0000) (multiplicity 1)
In (0.0000, 0.0000, 0.2478) (multiplicity 2)
Sn (0.0000, 0.0000, 0.5000) (multiplicity 1)
Pb (0.0000, 0.5000, 0.1243) (multiplicity 4)
Pb (0.0000, 0.5000, 0.3732) (multiplicity 4)
Pb (0.5000, 0.5000, 0.0000) (multiplicity 1)
Pb (0.5000, 0.5000, 0.2495) (multiplicity 2)
Pb (0.5000, 0.5000, 0.5000) (multiplicity 1)

***

5.
# LiEuTlAg

A relaxed LiEuTlAg crystal (PBE, the Alexandria database).

ΔE_f in eV/atom: -0.20
Magnetic moment in Bohr magnetons per cell: 29.33

Lattice parameters (Å, degrees): 7.3750 7.3750 7.3750 90.00 90.00 90.00
Space group F-43m (No. 216)
Inequivalent atoms, fractional coordinates:
Li (0.0000, 0.0000, 0.0000) (multiplicity 4)
Eu (0.0000, 0.0000, 0.5000) (multiplicity 4)
Tl (0.2500, 0.2500, 0.7500) (multiplicity 4)
Ag (0.2500, 0.2500, 0.2500) (multiplicity 4)

***

6.
# RbNa2O2

A relaxed RbNa2O2 crystal (PBE, the Alexandria database).

DFT total energy in eV per atom: -3.51
Magnetic moment in Bohr magnetons per cell: 2.00

Lattice parameters (Å, degrees): 7.2886 7.2886 3.1224 90.00 90.00 90.00
Space group P4/mbm (No. 127)
Inequivalent atoms, fractional coordinates:
Rb (0.0000, 0.0000, 0.0000) (multiplicity 2)
Na (0.1259, 0.3741, 0.5000) (multiplicity 4)
O (0.1632, 0.6632, 0.0000) (multiplicity 4)

***

7.
# Na2NpTe4Pb

A relaxed Na2NpTe4Pb crystal (PBE, the Alexandria database).

DFT total energy in eV per atom: -4.68
Magnetic moment in Bohr magnetons per cell: 2.99

Lattice parameters (Å, degrees): 7.8705 4.5389 7.9607 90.00 109.11 90.00
Space group P2/m (No. 10)
Inequivalent atoms, fractional coordinates:
Na (0.0000, 0.0000, 0.0000) (multiplicity 1)
Na (0.0000, 0.5000, 0.5000) (multiplicity 1)
Np (0.5000, 0.0000, 0.5000) (multiplicity 1)
Te (0.2630, 0.0000, 0.7350) (multiplicity 2)
Te (0.2683, 0.5000, 0.2690) (multiplicity 2)
Pb (0.5000, 0.5000, 0.0000) (multiplicity 1)

***

8.
# AsIrRh2

A relaxed AsIrRh2 crystal (PBE, the Alexandria database).

ΔE_f in eV/atom: 0.16
Magnetic moment in Bohr magnetons per cell: 0.00

Lattice parameters (Å, degrees): 6.1861 6.1861 6.1861 90.00 90.00 90.00
Space group F-43m (No. 216)
Inequivalent atoms, fractional coordinates:
As (0.0000, 0.0000, 0.0000) (multiplicity 4)
Ir (0.2500, 0.2500, 0.7500) (multiplicity 4)
Rh (0.0000, 0.0000, 0.5000) (multiplicity 4)
Rh (0.2500, 0.2500, 0.2500) (multiplicity 4)